1.
Density functional theory data (PBE) for an optimized crystal structure of Sn7Au5.

Computed properties:
DOS(E_F): 0.347 states/eV/atom
Raw total energy: -3.8213 eV/atom

a = 3.8401 Å, b = 7.3213 Å, c = 11.9904 Å
α = 67.69°, β = 80.79°, γ = 74.80°
Last column: nearest neighbours and their distance in Å.
Positions (direct):
Sn (0.6602, 0.7269, 0.9527)  5 Au 2.91-2.99
Sn (0.3398, 0.2731, 0.0473)  5 Au 2.91-2.99
Sn (0.0467, 0.6863, 0.2202)  4 Au 2.76-2.82
Au (0.3038, 0.5871, 0.8054)  7 Sn 2.82-2.99
Au (0.0000, 0.0000, 0.0000)  6 Sn 2.76-2.91
Sn (0.5000, 0.5000, 0.5000)  4 Au 2.88
Au (0.8831, 0.8220, 0.4118)  6 Sn 2.76-2.88
Au (0.6962, 0.4129, 0.1946)  7 Sn 2.82-2.99
Sn (0.7517, 0.8568, 0.6398)  5 Au 2.79-2.92
Au (0.1169, 0.1780, 0.5882)  6 Sn 2.76-2.88
Sn (0.2483, 0.1432, 0.3602)  5 Au 2.79-2.92
Sn (0.9533, 0.3137, 0.7798)  4 Au 2.76-2.82



2.
Density functional theory data (PBE) for an optimized crystal structure of Sn3Au.

Computed properties:
DOS(E_F): 0.430 states/eV/atom
Raw total energy: -3.8921 eV/atom
Energy relative to the lowest polymorph listed for this composition: 0.000 eV/atom

a = 5.7465 Å, b = 8.8456 Å, c = 8.8456 Å
α = 83.94°, β = 71.05°, γ = 71.05°
Last column: nearest neighbours and their distance in Å.
Positions (direct):
Sn (0.1386, 0.3614, 0.3614)  4 Au 2.96-2.99, 1 Sn 3.28
Sn (0.4234, 0.5953, 0.0000)  2 Au 2.91
Au (0.0000, 0.7078, 0.2922)  8 Sn 2.91-3.01
Au (0.7078, 0.2922, 0.2922)  8 Sn 2.91-3.01
Sn (0.1727, 0.0000, 0.1901)  2 Au 3.01, 2 Sn 3.18-3.33
Sn (0.0188, 0.4047, 0.0000)  2 Au 2.91
Au (0.0000, 0.2922, 0.7078)  8 Sn 2.91-3.01
Sn (0.5766, 0.0000, 0.4047)  2 Au 2.91
Sn (0.3629, 0.0000, 0.8099)  2 Au 3.01, 2 Sn 3.18-3.33
Sn (0.5000, 0.3614, 0.6386)  4 Au 2.96-2.99, 1 Sn 3.28
Au (0.2922, 0.7078, 0.7078)  8 Sn 2.91-3.01
Sn (0.8273, 0.8099, 0.0000)  2 Au 3.01, 2 Sn 3.18-3.33
Sn (0.6372, 0.1901, 0.0000)  2 Au 3.01, 2 Sn 3.18-3.33
Sn (0.9813, 0.0000, 0.5953)  2 Au 2.91
Sn (0.8613, 0.6386, 0.6386)  4 Au 2.96-2.99, 1 Sn 3.28
Sn (0.5000, 0.6386, 0.3614)  4 Au 2.96-2.99, 1 Sn 3.28



3.
Density functional theory data (PBE) for an optimized crystal structure of Sn5Au7.

Computed properties:
DOS(E_F): 0.258 states/eV/atom
Raw total energy: -3.6703 eV/atom

a = 4.0118 Å, b = 6.6540 Å, c = 12.2616 Å
α = 87.16°, β = 115.83°, γ = 71.63°
Last column: nearest neighbours and their distance in Å.
Positions (direct):
Sn (0.0000, 0.0000, 0.0000)  8 Au 2.88-3.00
Au (0.3273, 0.3349, 0.9948)  4 Sn 2.88-2.99, 4 Au 2.90-2.95
Sn (0.8716, 0.4075, 0.2368)  6 Au 2.88-2.99
Au (0.4673, 0.9164, 0.7692)  4 Sn 2.79-2.92, 3 Au 2.90-3.01
Sn (0.7744, 0.8283, 0.4591)  4 Au 2.79-2.89
Sn (0.2256, 0.1717, 0.5409)  4 Au 2.79-2.89
Sn (0.1284, 0.5925, 0.7632)  6 Au 2.88-2.99
Au (0.5000, 0.5000, 0.5000)  4 Sn 2.85, 2 Au 2.99
Au (0.5327, 0.0836, 0.2308)  4 Sn 2.79-2.92, 3 Au 2.90-3.01
Au (0.6727, 0.6651, 0.0052)  4 Sn 2.88-2.99, 4 Au 2.90-2.95
Au (0.7907, 0.2634, 0.7570)  4 Sn 2.89-3.00, 4 Au 2.90-3.01
Au (0.2093, 0.7366, 0.2430)  4 Sn 2.89-3.00, 4 Au 2.90-3.01



Number 1 is which compound? Sn7Au5